DFT (PBE) results for CsTl3Au3 after structural relaxation.

The crystal system is trigonal. The calculation puts the formation energy from the elements at -0.0260 eV per atom. The total magnetization is 0.0 Bohr magnetons per cell. The final energy is -2.567 eV/atom.

It has space group R-3 (No. 148, hexagonal axes), with a = 8.6568 Å, b = 8.6568 Å, c = 24.8250 Å, α = 90.00°, β = 90.00° and γ = 120.00°. The distinct sites, in fractional coordinates, are Cs at (0.0000, 0.0000, 0.1672), Tl at (0.0000, 0.3117, 0.3870) and Au at (0.0020, 0.3529, 0.6007).